PuAl2S6, relaxed, DFT PBE; M_tot = 4.00 μB/f.u.; formation energy without anion corrections = -83.0 kJ/mol of atoms
1.0
-5.173 4.426 -1.097
-2.125 -2.529 -7.669
-6.108 -4.383 3.635
S Al Pu
12 4 2
direct
0.112 0.814 0.923
0.436 0.624 0.527
0.888 0.186 0.077
0.936 0.527 0.624
0.564 0.376 0.473
0.166 0.101 0.604
0.388 0.077 0.186
0.064 0.473 0.376
0.334 0.396 0.899
0.612 0.923 0.814
0.666 0.604 0.101
0.834 0.899 0.396
0.792 0.411 0.237
0.208 0.589 0.763
0.292 0.237 0.411
0.708 0.763 0.589
0.250 0.102 0.898
0.750 0.898 0.102